Computed, not measured: a relaxed structure of LaSm2Zn2Sn2 at the PBE-GGA level of DFT.

Results
The value obtained for the density of states at the Fermi level is 7.60 states/eV/f.u. Its electronic total energy is -3.958 eV per atom.

a = 4.6875 Å, b = 4.6875 Å, c = 29.3212 Å
α = 90.00°, β = 90.00°, γ = 120.00°
Space group R-3m (No. 166, hexagonal axes)
Symmetry-distinct sites (fractional):
La1 0.0000 0.0000 0.0000
Sm1 0.0000 0.0000 0.1323
Zn1 0.0000 0.0000 0.4200
Sn1 0.0000 0.0000 0.2649